P | A plane-wave DFT calculation with PBEsol was carried out for an optimized crystal structure of SrMn2W.

Computed properties:
**Volume**: 19.6 Å³/atom
**Space-group type**: C2/m (12)

Unit cell a=8.165 b=3.040 c=6.390 alpha=90.00 beta=98.44 gamma=90.00
Fractional positions:
Sr: 0.000 0.000 0.000
Sr: 0.500 0.500 0.000
Mn: 0.228 0.000 0.640
Mn: 0.272 0.500 0.360
Mn: 0.728 0.500 0.640
Mn: 0.772 0.000 0.360
W: 0.000 0.500 0.500
W: 0.500 0.000 0.500

Q | A plane-wave DFT calculation with PBEsol was carried out for an optimized crystal structure of SrMn2W.

Computed properties:
**Volume**: 16.3 Å³/atom
**Space-group type**: Imm2 (44)

Unit cell a=2.728 b=4.820 c=9.896 alpha=90.00 beta=90.00 gamma=90.00
Fractional positions:
Sr: 0.000 0.000 0.000
Sr: 0.500 0.500 0.500
Mn: 0.000 0.000 0.463
Mn: 0.000 0.500 0.778
Mn: 0.500 0.000 0.278
Mn: 0.500 0.500 0.963
W: 0.000 0.500 0.204
W: 0.500 0.000 0.704

Least stable = Q